[1]
Density functional theory data (GGA-PBE) for CsRbBa2Hg after structural relaxation.

ΔE to the lowest computed polymorph: 0.000 eV/atom
crystal system: tetragonal
ΔH_f (0 K): -7.6 kJ per mole of atoms
DOS(E_F): 5.963 states/eV/cell

Unit cell a=6.804 b=6.804 c=7.480 alpha=90.00 beta=90.00 gamma=90.00
Space group P4/mmm (No. 123)
Inequivalent atoms, fractional coordinates:
Cs1 0.000 0.000 0.000
Rb1 0.500 0.500 0.000
Ba1 0.000 0.500 0.500
Hg1 0.500 0.500 0.500

***

[2]
Density functional theory data (GGA-PBE) for Sr6Pd2O after structural relaxation.

crystal system: monoclinic
DOS(E_F): 7.643 states/eV/cell
raw formation energy: -0.8857 eV/atom

Unit cell a=7.095 b=8.009 c=12.368 alpha=90.00 beta=123.48 gamma=90.00
Space group P2_1/c (No. 14)
Inequivalent atoms, fractional coordinates:
Sr1 0.107 0.038 0.235
Sr2 0.224 0.694 0.064
Sr3 0.365 0.161 0.060
Pd1 0.295 0.109 0.755
O1 0.000 0.000 0.000

***

[3]
Density functional theory data (GGA-PBE) for Hg2RhAu after structural relaxation.

crystal system: tetragonal
ΔH_f (0 K): 13.1 kJ per mole of atoms
DOS(E_F): 3.253 states/eV/cell

Unit cell a=4.310 b=4.310 c=7.974 alpha=90.00 beta=90.00 gamma=90.00
Space group I4/mmm (No. 139)
Inequivalent atoms, fractional coordinates:
Hg1 0.000 0.500 0.250
Rh1 0.000 0.000 0.000
Au1 0.000 0.000 0.500

***

[4]
Density functional theory data (GGA-PBE) for Ca2Pt3 after structural relaxation.

crystal system: trigonal
ΔH_f (0 K): -69.3 kJ per mole of atoms
DOS(E_F): 3.675 states/eV/cell

Unit cell a=4.3927 b=4.3927 c=20.3645 alpha=90.00 beta=90.00 gamma=120.00
Space group R-3m (No. 166, hexagonal axes)
Inequivalent atoms, fractional coordinates:
Ca1 0.0000 0.0000 0.0924
Pt1 0.0000 0.0000 0.3360
Pt2 0.0000 0.0000 0.5000

***

What did we get for total moment? Answer: 0.00; 0.00; 0.00; 0.00 Bohr magnetons per cell, in the order shown.